No. 1
A geometry-optimized BaTbO3 structure, computed with PBEsol.

Lattice parameters (Å, degrees): 6.175 6.192 8.717 90.00 90.00 90.00
Last column: magnetic moment on the atom in μB.
Fractional positions:
O  0.725  0.225  0.956  0.28
O  0.225  0.275  0.956  0.28
O  0.478  0.420  0.250  0.30
O  0.978  0.080  0.250  0.30
O  0.522  0.580  0.750  0.30
O  0.275  0.775  0.044  0.28
O  0.775  0.725  0.456  0.28
O  0.022  0.920  0.750  0.30
O  0.725  0.225  0.544  0.28
O  0.225  0.275  0.544  0.28
O  0.275  0.775  0.456  0.28
O  0.775  0.725  0.044  0.28
Ba  0.525  0.991  0.250  -0.01
Ba  0.475  0.009  0.750  -0.01
Ba  0.025  0.509  0.250  -0.01
Ba  0.975  0.491  0.750  -0.01
Tb  0.500  0.500  0.000  0.05
Tb  0.000  0.000  0.000  0.05
Tb  0.500  0.500  0.500  0.05
Tb  0.000  0.000  0.500  0.05

Summary:
As for the space group: Pnma (62). The total energy comes out at -7.3086 eV/atom. The volume is 16.66 Å³/atom. The mass density comes out at 6.9 g/cm³. The density of states at the Fermi level comes out at 3.799 states/eV/f.u.

---

No. 2
A geometry-optimized InPdF2 structure, computed with PBEsol.

Lattice parameters (Å, degrees): 2.924 2.924 8.079 79.57 79.57 60.00
Last column: magnetic moment on the atom in μB.
Fractional positions:
In  0.000  0.000  0.000  0.00
F  0.909  0.909  0.274  0.04
F  0.091  0.091  0.726  0.04
Pd  0.500  0.500  0.500  0.85

Summary:
As for the space group: R-3m (166). The total energy comes out at -4.0465 eV/atom. The volume is 14.63 Å³/atom. The mass density comes out at 7.4 g/cm³. The density of states at the Fermi level comes out at 4.898 states/eV/f.u.

---

No. 3
A geometry-optimized CuNi structure, computed with PBEsol.

Lattice parameters (Å, degrees): 2.414 2.414 4.100 90.00 90.00 115.44
Fractional positions:
Cu  0.500  0.500  0.500
Ni  0.000  0.000  0.000

Summary:
As for the space group: Cmmm (65). The volume is 10.79 Å³/atom. For the formation energy, the calculation gives 0.065 eV per atom. The mass density comes out at 9.4 g/cm³. The density of states at the Fermi level comes out at 1.983 states/eV/f.u.

---

> Look up the mass density of the second one.

7.4 g/cm³